--- P ---
Crystalline Ce8Ga2Au at its relaxed geometry, computed with PBE.

a = 5.089 Å, b = 6.874 Å, c = 9.109 Å
α = 112.18°, β = 106.22°, γ = 90.04°
Sites, in units of the cell vectors:
Au: 0.500 0.000 0.000
Ga: 0.184 0.684 0.368
Ga: 0.816 0.316 0.632
Ce: 0.649 0.882 0.296
Ce: 0.352 0.585 0.703
Ce: 0.204 0.205 0.408
Ce: 0.000 0.302 0.000
Ce: 0.796 0.795 0.592
Ce: 0.648 0.415 0.297
Ce: 0.351 0.118 0.704
Ce: 0.000 0.698 0.000

Values from the calculation:
* volume: 25.57 A^3/atom
* DOS at the Fermi energy: 32.459 states/eV/f.u.

***

--- Q ---
Crystalline Ce8Ga2Au at its relaxed geometry, computed with PBE.

a = 5.107 Å, b = 7.713 Å, c = 7.979 Å
α = 112.58°, β = 108.67°, γ = 90.00°
Sites, in units of the cell vectors:
Ce: 0.429 0.562 0.858
Ce: 0.687 0.922 0.374
Ce: 0.815 0.748 0.629
Ce: 0.991 0.238 0.983
Ce: 0.185 0.252 0.371
Ce: 0.313 0.078 0.626
Ce: 0.571 0.438 0.142
Ce: 0.009 0.762 0.017
Ga: 0.817 0.355 0.634
Ga: 0.183 0.645 0.366
Au: 0.500 0.000 0.000

Values from the calculation:
* volume: 24.75 A^3/atom
* DOS at the Fermi energy: 28.796 states/eV/f.u.

***

Name the least stable of them. P.

***

--- P ---
Crystalline CeGa3Au3 at its relaxed geometry, computed with PBE.

a = 7.035 Å, b = 7.035 Å, c = 7.035 Å
α = 90.00°, β = 90.00°, γ = 90.00°
Sites, in units of the cell vectors:
Au: 0.000 0.250 0.500
Au: 0.000 0.750 0.500
Au: 0.500 0.000 0.750
Au: 0.750 0.500 0.000
Au: 0.500 0.000 0.250
Au: 0.250 0.500 0.000
Ga: 0.250 0.000 0.500
Ga: 0.000 0.500 0.250
Ga: 0.500 0.750 0.000
Ga: 0.750 0.000 0.500
Ga: 0.000 0.500 0.750
Ga: 0.500 0.250 0.000
Ce: 0.500 0.500 0.500
Ce: 0.000 0.000 0.000

Values from the calculation:
* volume: 24.87 A^3/atom
* DOS at the Fermi energy: 10.817 states/eV/f.u.

***

--- Q ---
Crystalline CeGa3Au3 at its relaxed geometry, computed with PBE.

a = 4.661 Å, b = 9.623 Å, c = 6.818 Å
α = 114.66°, β = 90.00°, γ = 90.00°
Sites, in units of the cell vectors:
Ce: 0.750 0.286 0.637
Ce: 0.250 0.714 0.363
Ga: 0.750 0.914 0.287
Ga: 0.750 0.136 0.113
Ga: 0.750 0.663 0.665
Ga: 0.250 0.086 0.713
Ga: 0.250 0.864 0.887
Ga: 0.250 0.337 0.335
Au: 0.750 0.622 0.030
Au: 0.750 0.442 0.268
Au: 0.750 0.950 0.704
Au: 0.250 0.378 0.970
Au: 0.250 0.558 0.732
Au: 0.250 0.050 0.296

Values from the calculation:
* volume: 19.85 A^3/atom
* DOS at the Fermi energy: 7.093 states/eV/f.u.

***

--- R ---
Crystalline CeGa3Au3 at its relaxed geometry, computed with PBE.

a = 8.213 Å, b = 8.213 Å, c = 7.151 Å
α = 54.95°, β = 54.95°, γ = 60.00°
Sites, in units of the cell vectors:
Ce: 0.334 0.334 0.998
Ce: 0.666 0.666 0.002
Ga: 0.375 0.779 0.771
Ga: 0.779 0.075 0.771
Ga: 0.075 0.375 0.771
Ga: 0.925 0.625 0.229
Ga: 0.221 0.925 0.229
Ga: 0.625 0.221 0.229
Au: 0.243 0.562 0.295
Au: 0.900 0.243 0.295
Au: 0.562 0.900 0.295
Au: 0.438 0.100 0.705
Au: 0.100 0.757 0.705
Au: 0.757 0.438 0.705

Values from the calculation:
* volume: 22.33 A^3/atom
* DOS at the Fermi energy: 5.719 states/eV/f.u.

***

Name the least stable of them. P.